[1]
## YPa2As3 (GGA-PBE)

Data for a relaxed structure of YPa2As3.

a b c (Å): 8.204 5.801 12.283
angles (deg): 90.00 90.00 90.00
Fractional positions:
Y (0.124, 0.250, 0.081)
Y (0.376, 0.750, 0.581)
Y (0.624, 0.250, 0.419)
Y (0.876, 0.750, 0.919)
Pa (0.124, 0.250, 0.417)
Pa (0.124, 0.250, 0.750)
Pa (0.376, 0.750, 0.250)
Pa (0.376, 0.750, 0.917)
Pa (0.624, 0.250, 0.083)
Pa (0.624, 0.250, 0.750)
Pa (0.876, 0.750, 0.250)
Pa (0.876, 0.750, 0.583)
As (0.126, 0.750, 0.416)
As (0.126, 0.750, 0.750)
As (0.127, 0.750, 0.084)
As (0.373, 0.250, 0.584)
As (0.374, 0.250, 0.250)
As (0.374, 0.250, 0.916)
As (0.626, 0.750, 0.084)
As (0.626, 0.750, 0.750)
As (0.627, 0.750, 0.416)
As (0.873, 0.250, 0.916)
As (0.874, 0.250, 0.250)
As (0.874, 0.250, 0.584)

**Formation energy**: -1.214 eV per atom

[2]
## Y2PaAs3 (GGA-PBE)

Data for a relaxed structure of Y2PaAs3.

a b c (Å): 7.113 7.113 7.113
angles (deg): 146.34 131.85 60.03
Fractional positions:
Y (0.168, 0.168, 0.000)
Y (0.832, 0.832, 0.000)
Pa (0.500, 0.500, 0.000)
As (0.000, 0.500, 0.500)
As (0.337, 0.837, 0.500)
As (0.663, 0.163, 0.500)

**Formation energy**: -1.386 eV per atom

[3]
## YPaAs2 (GGA-PBE)

Data for a relaxed structure of YPaAs2.

a b c (Å): 8.836 8.836 8.836
angles (deg): 27.48 27.48 27.48
Fractional positions:
Y (0.000, 0.000, 0.000)
Pa (0.500, 0.500, 0.500)
As (0.109, 0.109, 0.109)
As (0.891, 0.891, 0.891)

**Polymorph energy (0 for the lowest one)**: 778 meV per atom
**Formation energy**: -0.481 eV per atom

[4]
## YPa3As4 (GGA-PBE)

Data for a relaxed structure of YPa3As4.

a b c (Å): 7.097 7.097 4.097
angles (deg): 90.00 90.00 109.47
Fractional positions:
Y (0.000, 0.000, 0.000)
Pa (0.000, 0.500, 0.500)
Pa (0.500, 0.000, 0.500)
Pa (0.500, 0.500, 0.000)
As (0.249, 0.751, 0.000)
As (0.250, 0.250, 0.500)
As (0.750, 0.750, 0.500)
As (0.751, 0.249, 0.000)

**Formation energy**: -1.171 eV per atom

[5]
## Y5PaAs6 (GGA-PBE)

Data for a relaxed structure of Y5PaAs6.

a b c (Å): 7.127 7.127 7.124
angles (deg): 99.58 99.58 120.00
Fractional positions:
Y (0.000, 0.000, 0.000)
Y (0.166, 0.834, 0.500)
Y (0.332, 0.668, 0.000)
Y (0.668, 0.332, 0.000)
Y (0.834, 0.166, 0.500)
Pa (0.500, 0.500, 0.500)
As (0.089, 0.417, 0.252)
As (0.254, 0.254, 0.747)
As (0.417, 0.089, 0.252)
As (0.583, 0.911, 0.748)
As (0.746, 0.746, 0.253)
As (0.911, 0.583, 0.748)

**Formation energy**: -1.487 eV per atom

[6]
## YZrPa2As4 (GGA-PBE)

Data for a relaxed structure of YZrPa2As4.

a b c (Å): 6.948 4.065 7.025
angles (deg): 90.00 109.76 90.00
Fractional positions:
Y (0.000, 0.000, 0.000)
Zr (0.000, 0.500, 0.500)
Pa (0.500, 0.000, 0.500)
Pa (0.500, 0.500, 0.000)
As (0.242, 0.000, 0.742)
As (0.246, 0.500, 0.254)
As (0.754, 0.500, 0.746)
As (0.758, 0.000, 0.258)

**Formation energy**: -1.185 eV per atom

[7]
## Y2ZrPaAs4 (GGA-PBE)

Data for a relaxed structure of Y2ZrPaAs4.

a b c (Å): 6.979 4.052 7.040
angles (deg): 90.00 109.33 90.00
Fractional positions:
Y (0.000, 0.000, 0.000)
Y (0.500, 0.500, 0.000)
Zr (0.000, 0.500, 0.500)
Pa (0.500, 0.000, 0.500)
As (0.242, 0.000, 0.739)
As (0.246, 0.500, 0.256)
As (0.754, 0.500, 0.744)
As (0.758, 0.000, 0.261)

**Formation energy**: -1.307 eV per atom

[8]
## Pa2ZnAs (GGA-PBE)

Data for a relaxed structure of Pa2ZnAs.

a b c (Å): 3.390 3.390 7.569
angles (deg): 90.00 90.00 90.00
Fractional positions:
Pa (0.000, 0.000, 0.237)
Pa (0.000, 0.000, 0.763)
Zn (0.500, 0.500, 0.500)
As (0.500, 0.500, 0.000)

**Polymorph energy (0 for the lowest one)**: 0 meV per atom
**Formation energy**: -0.317 eV per atom

[9]
## Pa2ZnAs (GGA-PBE)

Data for a relaxed structure of Pa2ZnAs.

a b c (Å): 10.598 10.598 10.598
angles (deg): 18.24 18.24 18.24
Fractional positions:
Pa (0.100, 0.100, 0.100)
Pa (0.900, 0.900, 0.900)
Zn (0.000, 0.000, 0.000)
As (0.500, 0.500, 0.500)

**Polymorph energy (0 for the lowest one)**: 469 meV per atom
**Formation energy**: 0.152 eV per atom

[10]
## Pa2ZnAs4 (GGA-PBE)

Data for a relaxed structure of Pa2ZnAs4.

a b c (Å): 4.017 4.017 9.391
angles (deg): 90.00 90.00 90.00
Fractional positions:
Pa (0.000, 0.500, 0.234)
Pa (0.500, 0.000, 0.766)
Zn (0.000, 0.000, 0.500)
As (0.000, 0.000, 0.000)
As (0.000, 0.500, 0.673)
As (0.500, 0.000, 0.327)
As (0.500, 0.500, 0.000)

**Formation energy**: -0.664 eV per atom

[11]
## Zr5PaAs6 (GGA-PBE)

Data for a relaxed structure of Zr5PaAs6.

a b c (Å): 6.814 6.814 6.744
angles (deg): 99.60 99.60 120.30
Fractional positions:
Zr (0.000, 0.000, 0.000)
Zr (0.171, 0.829, 0.500)
Zr (0.331, 0.669, 0.000)
Zr (0.669, 0.331, 0.000)
Zr (0.829, 0.171, 0.500)
Pa (0.500, 0.500, 0.500)
As (0.077, 0.414, 0.244)
As (0.244, 0.244, 0.750)
As (0.414, 0.077, 0.244)
As (0.586, 0.923, 0.756)
As (0.756, 0.756, 0.250)
As (0.923, 0.586, 0.756)

**Formation energy**: -1.091 eV per atom

[12]
## Zr2PaAs (GGA-PBE)

Data for a relaxed structure of Zr2PaAs.

a b c (Å): 9.070 9.070 9.070
angles (deg): 21.98 21.98 21.98
Fractional positions:
Zr (0.000, 0.000, 0.000)
Zr (0.197, 0.197, 0.197)
Pa (0.431, 0.431, 0.431)
As (0.599, 0.599, 0.599)

**Polymorph energy (0 for the lowest one)**: 2 meV per atom
**Formation energy**: -0.345 eV per atom